(1)
# Ni2MoAs

Ni2MoAs after structural relaxation (PBE, Alexandria).

VASP energy = -6.644 eV/atom
Calculated formation energy = 0.12 eV/atom

abc: 2.7576 2.7576 24.5138
angles: 90.00 90.00 120.00
Space group R-3m (No. 166, hexagonal axes)
Unique sites:
Ni 0.0000 0.0000 0.2449 [6 per cell]
Mo 0.0000 0.0000 0.0000 [3 per cell]
As 0.0000 0.0000 0.5000 [3 per cell]

(2)
# NiMo2As2

NiMo2As2 after structural relaxation (PBE, Alexandria).

VASP energy = -7.248 eV/atom
Excess energy over the best structure of this formula in the dataset = 7.1 kJ/mol of formula units
Calculated formation energy = 0.10 eV/atom

abc: 6.820 6.820 3.279
angles: 90.00 90.00 90.00
Space group P4/mbm (No. 127)
Unique sites:
Ni 0.000 0.000 0.000 [2 per cell]
Mo 0.146 0.354 0.500 [4 per cell]
As 0.153 0.653 0.000 [4 per cell]